## w
A plane-wave DFT calculation with PBE was carried out for crystalline PmNdDySc at its relaxed geometry.

```
PmNdDySc
1.0
0.0000 3.9774 3.9774
3.9774 0.0000 3.9774
3.9774 3.9774 0.0000
Pm Nd Dy Sc
1 1 1 1
direct
0.0000 0.0000 0.0000
0.2500 0.2500 0.2500
0.7500 0.7500 0.7500
0.5000 0.5000 0.5000
```

Computed properties:
* symmetry: No. 216
* crystal system: cubic

---

## x
A plane-wave DFT calculation with PBE was carried out for crystalline PmNdDySc at its relaxed geometry.

```
PmNdDySc
1.0
-1.7232 3.0396 6.1076
1.7232 -3.0396 6.1076
1.7232 3.0396 -6.1076
Pm Nd Dy Sc
1 1 1 1
direct
0.0000 0.0000 0.0000
0.2766 0.2766 0.0000
0.5120 0.0120 0.5000
0.7338 0.7338 0.0000
```

Computed properties:
* symmetry: No. 44
* crystal system: orthorhombic

---

What should be chosen as the least stable of them? Choose x.

---

## w
A plane-wave DFT calculation with PBE was carried out for crystalline PmNdDyTm at its relaxed geometry.

```
PmNdDyTm
1.0
3.6068 0.0000 0.0000
-1.8034 3.1236 0.0000
0.0000 0.0000 11.5988
Pm Nd Dy Tm
1 1 1 1
direct
0.0000 0.0000 0.0000
0.3333 0.6667 0.2587
0.6667 0.3333 0.5091
0.3333 0.6667 0.7512
```

Computed properties:
* symmetry: No. 156
* crystal system: trigonal

---

## x
A plane-wave DFT calculation with PBE was carried out for crystalline PmNdDyTm at its relaxed geometry.

```
PmNdDyTm
1.0
0.0000 4.0425 4.0425
4.0425 0.0000 4.0425
4.0425 4.0425 0.0000
Pm Nd Dy Tm
1 1 1 1
direct
0.0000 0.0000 0.0000
0.5000 0.5000 0.5000
0.2500 0.2500 0.2500
0.7500 0.7500 0.7500
```

Computed properties:
* symmetry: No. 216
* crystal system: cubic

---

What should be chosen as the least stable of them? Choose x.

---

## w
A plane-wave DFT calculation with PBE was carried out for crystalline Pr4NdDy6 at its relaxed geometry.

```
Pr4NdDy6
1.0
-3.3724 3.3724 8.4920
3.3724 -3.3724 8.4920
3.3724 3.3724 -8.4920
Pr Nd Dy
4 1 6
direct
0.1326 0.1326 0.6177
0.4851 0.8674 0.0000
0.5149 0.5149 0.3823
0.8674 0.4851 0.0000
0.5000 0.5000 0.0000
0.0000 0.5000 0.5000
0.0547 0.7009 0.0000
0.2991 0.2991 0.3538
0.5000 0.0000 0.5000
0.7009 0.0547 0.0000
0.9453 0.9453 0.6462
```

Computed properties:
* symmetry: No. 121
* crystal system: tetragonal

---

## x
A plane-wave DFT calculation with PBE was carried out for crystalline Pr4NdDy6 at its relaxed geometry.

```
Pr4NdDy6
1.0
-3.9055 3.9055 6.5357
3.9055 -3.9055 6.5357
3.9055 3.9055 -6.5357
Pr Nd Dy
4 1 6
direct
0.2491 0.2491 0.6497
0.4006 0.7509 0.0000
0.5994 0.5994 0.3503
0.7509 0.4006 0.0000
0.0000 0.0000 0.0000
0.0000 0.5000 0.5000
0.0640 0.5660 0.0000
0.4340 0.4340 0.4981
0.5000 0.0000 0.5000
0.5660 0.0640 0.0000
0.9360 0.9360 0.5019
```

Computed properties:
* symmetry: No. 121
* crystal system: tetragonal

---

What should be chosen as the least stable of them? Choose x.

---

## w
A plane-wave DFT calculation with PBE was carried out for crystalline PrNdDy2 at its relaxed geometry.

```
PrNdDy2
1.0
0.0000 4.0695 4.0695
4.0695 0.0000 4.0695
4.0695 4.0695 0.0000
Pr Nd Dy
1 1 2
direct
0.0000 0.0000 0.0000
0.5000 0.5000 0.5000
0.2500 0.2500 0.2500
0.7500 0.7500 0.7500
```

Computed properties:
* symmetry: No. 225
* crystal system: cubic

---

## x
A plane-wave DFT calculation with PBE was carried out for crystalline PrNdDy2 at its relaxed geometry.

```
PrNdDy2
1.0
1.8170 1.0491 11.7461
-1.8170 1.0491 11.7461
0.0000 -2.0981 11.7461
Pr Nd Dy
1 1 2
direct
0.0000 0.0000 0.0000
0.8338 0.8338 0.8338
0.2498 0.2498 0.2498
0.4180 0.4180 0.4180
```

Computed properties:
* symmetry: No. 160
* crystal system: trigonal

---

What should be chosen as the least stable of them? Choose w.

---

## w
A plane-wave DFT calculation with PBE was carried out for crystalline Pr7NdDy3 at its relaxed geometry.

```
Pr7NdDy3
1.0
5.9521 -5.1606 0.0000
5.9521 5.1606 0.0000
-0.6889 0.0000 6.4615
Pr Nd Dy
7 1 3
direct
0.0000 0.0000 0.0000
0.0768 0.4278 0.2605
0.2652 0.2652 0.7860
0.4278 0.0768 0.2605
0.5722 0.9232 0.7395
0.7348 0.7348 0.2140
0.9232 0.5722 0.7395
0.0000 0.0000 0.5000
0.3316 0.6684 0.0000
0.5000 0.5000 0.5000
0.6684 0.3316 0.0000
```

Computed properties:
* symmetry: No. 12
* crystal system: monoclinic

---

## x
A plane-wave DFT calculation with PBE was carried out for crystalline Pr7NdDy3 at its relaxed geometry.

```
Pr7NdDy3
1.0
7.2896 0.0000 0.0000
-3.6448 6.3130 0.0000
0.0000 0.0000 8.7394
Pr Nd Dy
7 1 3
direct
0.0000 0.0000 0.0000
0.9999 0.5000 0.0177
0.1668 0.3335 0.6649
0.1668 0.8332 0.6649
0.5000 0.0001 0.0177
0.5000 0.5000 0.0177
0.6665 0.8332 0.6649
0.6667 0.3333 0.6823
0.3337 0.1668 0.3417
0.8332 0.1668 0.3417
0.8332 0.6663 0.3417
```

Computed properties:
* symmetry: No. 156
* crystal system: trigonal

---

What should be chosen as the least stable of them? Choose w.

---

## w
A plane-wave DFT calculation with PBE was carried out for crystalline PrNd5Dy3 at its relaxed geometry.

```
PrNd5Dy3
1.0
8.6708 -4.0268 0.0000
8.6708 4.0268 0.0000
-7.9911 0.0000 9.5265
Pr Nd Dy
2 10 6
direct
0.1253 0.1253 0.3346
0.8747 0.8747 0.6654
0.2187 0.6456 0.2116
0.2575 0.2575 0.8595
0.3284 0.6716 0.0000
0.3544 0.7813 0.7884
0.3785 0.3785 0.4387
0.6215 0.6215 0.5613
0.6456 0.2187 0.2116
0.6716 0.3284 0.0000
0.7425 0.7425 0.1405
0.7813 0.3544 0.7884
0.0000 0.0000 0.0000
0.0000 0.0000 0.5000
0.2084 0.2084 0.0833
0.3335 0.3335 0.6658
0.6665 0.6665 0.3342
0.7916 0.7916 0.9167
```

Computed properties:
* symmetry: No. 12
* crystal system: monoclinic

---

## x
A plane-wave DFT calculation with PBE was carried out for crystalline PrNd5Dy3 at its relaxed geometry.

```
PrNd5Dy3
1.0
10.2100 -3.1264 0.0000
10.2100 3.1264 0.0000
-6.1639 0.0000 9.9133
Pr Nd Dy
2 10 6
direct
0.1273 0.8727 0.7500
0.8727 0.1273 0.2500
0.0111 0.6284 0.1626
0.1825 0.5379 0.8494
0.3716 0.9889 0.3374
0.3908 0.6092 0.2500
0.4621 0.8175 0.6506
0.5379 0.1825 0.3494
0.6092 0.3908 0.7500
0.6284 0.0111 0.6626
0.8175 0.4621 0.1506
0.9889 0.3716 0.8374
0.0000 0.0000 0.0000
0.0000 0.0000 0.5000
0.0408 0.6016 0.4673
0.3984 0.9592 0.0327
0.6016 0.0408 0.9673
0.9592 0.3984 0.5327
```

Computed properties:
* symmetry: No. 15
* crystal system: monoclinic

---

What should be chosen as the least stable of them? Choose w.

---

## w
A plane-wave DFT calculation with PBE was carried out for crystalline Pr2Nd12Dy5 at its relaxed geometry.

```
Pr2Nd12Dy5
1.0
8.0722 -5.1095 0.0000
8.0722 5.1095 0.0000
-0.1409 0.0000 8.0418
Pr Nd Dy
2 12 5
direct
0.2251 0.7749 0.0000
0.7749 0.2251 0.0000
0.0385 0.5776 0.2073
0.1590 0.1590 0.1221
0.1680 0.6207 0.6106
0.3793 0.8320 0.3894
0.4224 0.9615 0.7927
0.4483 0.4483 0.2884
0.5517 0.5517 0.7116
0.5776 0.0385 0.2073
0.6207 0.1680 0.6106
0.8320 0.3793 0.3894
0.8410 0.8410 0.8779
0.9615 0.4224 0.7927
0.0000 0.0000 0.5000
0.2470 0.2470 0.4905
0.3520 0.3520 0.9159
0.6480 0.6480 0.0841
0.7530 0.7530 0.5095
```

Computed properties:
* symmetry: No. 12
* crystal system: monoclinic

---

## x
A plane-wave DFT calculation with PBE was carried out for crystalline Pr2Nd12Dy5 at its relaxed geometry.

```
Pr2Nd12Dy5
1.0
9.0700 -5.8979 0.0000
9.0700 5.8979 0.0000
-1.3743 0.0000 6.1212
Pr Nd Dy
2 12 5
direct
0.2258 0.7742 0.0000
0.7742 0.2258 0.0000
0.0598 0.5422 0.7989
0.1234 0.1234 0.9960
0.1458 0.6462 0.3857
0.3538 0.8542 0.6143
0.4433 0.4433 0.7254
0.4578 0.9402 0.2011
0.5422 0.0598 0.7989
0.5567 0.5567 0.2746
0.6462 0.1458 0.3857
0.8542 0.3538 0.6143
0.8766 0.8766 0.0040
0.9402 0.4578 0.2011
0.0000 0.0000 0.5000
0.2142 0.2142 0.5476
0.3227 0.3227 0.1421
0.6773 0.6773 0.8579
0.7858 0.7858 0.4524
```

Computed properties:
* symmetry: No. 12
* crystal system: monoclinic

---

What should be chosen as the least stable of them? Choose w.

---

## w
A plane-wave DFT calculation with PBE was carried out for crystalline PrNdDy3 at its relaxed geometry.

```
PrNdDy3
1.0
6.5451 0.0000 0.0000
-3.2451 5.6983 0.0000
-3.0757 -1.8345 8.9563
Pr Nd Dy
2 2 6
direct
0.0000 0.0000 0.0000
0.0000 0.5000 0.5000
0.2902 0.4424 0.3087
0.7098 0.5576 0.6913
0.1332 0.1407 0.6873
0.3106 0.6534 0.9552
0.4486 0.0161 0.3123
0.5514 0.9839 0.6877
0.6894 0.3466 0.0448
0.8668 0.8593 0.3127
```

Computed properties:
* symmetry: No. 2
* crystal system: triclinic

---

## x
A plane-wave DFT calculation with PBE was carried out for crystalline PrNdDy3 at its relaxed geometry.

```
PrNdDy3
1.0
3.6524 0.0000 0.0000
0.0000 11.6925 0.0000
-1.8221 0.0000 8.4871
Pr Nd Dy
2 2 6
direct
0.1874 0.2500 0.3737
0.8126 0.7500 0.6263
0.4873 0.7500 0.9738
0.5127 0.2500 0.0262
0.1527 0.7500 0.3035
0.3420 0.0027 0.6855
0.3420 0.4973 0.6855
0.6580 0.5027 0.3145
0.6580 0.9973 0.3145
0.8473 0.2500 0.6965
```

Computed properties:
* symmetry: No. 11
* crystal system: monoclinic

---

What should be chosen as the least stable of them? Choose x.

---

## w
A plane-wave DFT calculation with PBE was carried out for crystalline PrNd5Dy2 at its relaxed geometry.

```
PrNd5Dy2
1.0
7.2366 0.0000 0.0000
0.0000 10.1564 0.0000
-1.8171 0.0000 7.8923
Pr Nd Dy
2 10 4
direct
0.0706 0.2500 0.2848
0.9294 0.7500 0.7152
0.2497 0.5258 0.0000
0.2497 0.9742 0.0000
0.4079 0.0929 0.6403
0.4079 0.4071 0.6403
0.4381 0.7500 0.7272
0.5619 0.2500 0.2728
0.5921 0.5929 0.3597
0.5921 0.9071 0.3597
0.7503 0.0258 0.0000
0.7503 0.4742 0.0000
0.0908 0.5918 0.3660
0.0908 0.9082 0.3660
0.9092 0.0918 0.6340
0.9092 0.4082 0.6340
```

Computed properties:
* symmetry: No. 11
* crystal system: monoclinic

---

## x
A plane-wave DFT calculation with PBE was carried out for crystalline PrNd5Dy2 at its relaxed geometry.

```
PrNd5Dy2
1.0
7.2994 0.0000 0.0000
0.0000 14.5994 0.0000
0.0000 0.0000 5.1554
Pr Nd Dy
2 10 4
direct
0.0000 0.0000 0.0000
0.5000 0.5000 0.0000
0.0000 0.5000 0.0000
0.0005 0.2503 0.0000
0.2494 0.6253 0.5000
0.2506 0.1253 0.5000
0.4995 0.7503 0.0000
0.5000 0.0000 0.0000
0.5005 0.2497 0.0000
0.7494 0.8747 0.5000
0.7506 0.3747 0.5000
0.9995 0.7497 0.0000
0.2501 0.3749 0.5000
0.2499 0.8749 0.5000
0.7501 0.1251 0.5000
0.7499 0.6251 0.5000
```

Computed properties:
* symmetry: No. 55
* crystal system: orthorhombic

---

What should be chosen as the least stable of them? Choose w.

---

## w
A plane-wave DFT calculation with PBE was carried out for crystalline PrNdDy5 at its relaxed geometry.

```
PrNdDy5
1.0
-2.8880 4.3490 5.9207
2.8880 -4.3490 5.9207
2.8880 4.3490 -5.9207
Pr Nd Dy
1 1 5
direct
0.0000 0.0000 0.0000
0.5000 0.5000 0.0000
0.0000 0.5000 0.5000
0.2478 0.2478 0.0000
0.3215 0.0000 0.3215
0.6785 0.0000 0.6785
0.7522 0.7522 0.0000
```

Computed properties:
* symmetry: No. 71
* crystal system: orthorhombic

---

## x
A plane-wave DFT calculation with PBE was carried out for crystalline PrNdDy5 at its relaxed geometry.

```
PrNdDy5
1.0
5.8847 -3.4293 0.0000
5.8847 3.4293 0.0000
-4.0391 0.0000 11.5019
Pr Nd Dy
2 2 10
direct
0.0271 0.9729 0.7500
0.9729 0.0271 0.2500
0.0000 0.5000 0.0000
0.5000 0.0000 0.5000
0.1414 0.4173 0.7473
0.1981 0.6471 0.5013
0.3529 0.8019 0.9987
0.4117 0.5883 0.2500
0.4173 0.1414 0.2473
0.5827 0.8586 0.7527
0.5883 0.4117 0.7500
0.6471 0.1981 0.0013
0.8019 0.3529 0.4987
0.8586 0.5827 0.2527
```

Computed properties:
* symmetry: No. 15
* crystal system: monoclinic

---

What should be chosen as the least stable of them? Choose w.